(1)
La3Si2Ge4 | GGA-PBE | optimized geometry

raw formation energy = -0.639 eV per atom
symmetry = C2/m, No. 12
Fermi-level density of states = 0.65 states/eV per atom
E = -49.844 eV/cell

Lattice parameters (Å, degrees): 4.1759 6.1690 8.9876 103.19 90.00 109.78
With the nearest neighbours (Å) after each atom.
Atoms (fractional coordinates):
La 0.6670 0.3340 0.6633  8 Ge 3.24-3.51, 4 Si 3.24-3.42
La 0.0000 0.0000 0.0000  8 Ge 3.25-3.43, 4 Si 3.26
La 0.3330 0.6660 0.3367  8 Ge 3.24-3.51, 4 Si 3.24-3.42
Si 0.6127 0.2254 0.2758  3 Ge 2.46-2.51
Si 0.3873 0.7746 0.7242  3 Ge 2.46-2.51
Ge 0.7206 0.4412 0.0653  1 Si 2.51, 2 Ge 2.57
Ge 0.2794 0.5588 0.9347  1 Si 2.51, 2 Ge 2.57
Ge 0.9445 0.8891 0.6156  2 Si 2.46, 1 Ge 2.70
Ge 0.0555 0.1109 0.3844  2 Si 2.46, 1 Ge 2.70

---

(2)
PmMgGaNi | GGA-PBE | optimized geometry

symmetry = F-43m, No. 216
E_form = -32 kJ/mol of atoms
Fermi-level density of states = 0.52 states/eV per atom
E = -16.469 eV/cell

Lattice parameters (Å, degrees): 4.7995 4.7995 4.7995 60.00 60.00 60.00
With the nearest neighbours (Å) after each atom.
Atoms (fractional coordinates):
Ni 0.5000 0.5000 0.5000  4 Mg 2.94, 4 Pm 2.94
Mg 0.2500 0.2500 0.2500  4 Ni 2.94, 4 Ga 2.94
Ga 0.0000 0.0000 0.0000  4 Mg 2.94, 4 Pm 2.94
Pm 0.7500 0.7500 0.7500  4 Ni 2.94, 4 Ga 2.94

---

(3)
ZnAg3O | GGA-PBE | optimized geometry

raw formation energy = 0.911 eV per atom
symmetry = Pm-3m, No. 221
Fermi-level density of states = 0.53 states/eV per atom
E = -10.232 eV/cell

Lattice parameters (Å, degrees): 4.7936 4.7936 4.7936 90.00 90.00 90.00
With the nearest neighbours (Å) after each atom.
Atoms (fractional coordinates):
Zn 0.0000 0.0000 0.0000  6 Ag 2.40
O 0.5000 0.5000 0.5000  12 Ag 3.39
Ag 0.0000 0.5000 0.0000  2 Zn 2.40
Ag 0.0000 0.0000 0.5000  2 Zn 2.40
Ag 0.5000 0.0000 0.0000  2 Zn 2.40

---

(4)
Ac2SmZn3In4 | GGA-PBE | optimized geometry

symmetry = P-4m2, No. 115
E_form = -32 kJ/mol of atoms
Fermi-level density of states = 0.67 states/eV per atom
E = -31.044 eV/cell

Lattice parameters (Å, degrees): 4.6665 4.6665 12.4686 90.00 90.00 90.00
With the nearest neighbours (Å) after each atom.
Atoms (fractional coordinates):
Ac 0.5000 0.0000 0.2294  4 Zn 3.53, 8 In 3.59-3.69
Ac 0.0000 0.5000 0.7706  4 Zn 3.53, 8 In 3.59-3.69
Sm 0.5000 0.5000 0.5000  4 In 3.05, 4 Zn 3.30
Zn 0.0000 0.0000 0.5000  4 In 3.05, 4 Sm 3.30
Zn 0.5000 0.0000 0.8720  5 In 2.67-2.83
Zn 0.0000 0.5000 0.1280  5 In 2.67-2.83
In 0.5000 0.5000 0.0000  4 Zn 2.83
In 0.0000 0.0000 0.0000  4 Zn 2.83
In 0.5000 0.0000 0.6580  1 Zn 2.67
In 0.0000 0.5000 0.3420  1 Zn 2.67

---

(5)
TaCr2Cd | GGA-PBE | optimized geometry

symmetry = Pm, No. 6
E_form = 38 kJ/mol of atoms
Fermi-level density of states = 0.97 states/eV per atom
E = -30.426 eV/cell

Lattice parameters (Å, degrees): 3.8678 2.8629 6.0040 71.89 90.00 90.00
With the nearest neighbours (Å) after each atom.
Atoms (fractional coordinates):
Cd 0.5000 0.7666 0.7671  5 Cr 2.73-2.97, 2 Cd 2.86, 4 Ta 2.97-3.02
Cr 0.0000 0.0339 0.0504  2 Cr 2.34, 1 Ta 2.45
Cr 0.5000 0.2125 0.2277  2 Cr 2.34
Ta 0.0000 0.4870 0.4548  3 Cr 2.45-2.62

---

(6)
Sc2ZnBiO6 | GGA-PBE | optimized geometry

raw formation energy = -2.258 eV per atom
symmetry = R3, No. 146
Fermi-level density of states = 0.41 states/eV per atom
E = -70.150 eV/cell

Lattice parameters (Å, degrees): 5.4871 5.4872 5.8141 61.84 61.84 60.00
With the nearest neighbours (Å) after each atom.
Atoms (fractional coordinates):
Sc 0.5181 0.5181 0.4457  6 O 2.08-2.21
Sc 0.0222 0.0222 0.9333  6 O 2.09-2.21
Zn 0.8046 0.8046 0.5863  6 O 2.11-2.30
Bi 0.3058 0.3058 0.0827  6 O 2.23-2.35
O 0.6442 0.2237 0.2462  2 Sc 2.08-2.21, 1 Bi 2.23, 1 Zn 2.30
O 0.2237 0.8859 0.2462  2 Sc 2.08-2.21, 1 Bi 2.23, 1 Zn 2.30
O 0.8859 0.6441 0.2462  2 Sc 2.08-2.21, 1 Bi 2.23, 1 Zn 2.30
O 0.4078 0.7275 0.7428  2 Sc 2.09-2.21, 1 Zn 2.11
O 0.7275 0.1218 0.7428  2 Sc 2.09-2.21, 1 Zn 2.11
O 0.1218 0.4078 0.7429  2 Sc 2.09-2.21, 1 Zn 2.11

---

(7)
Ta4ReTc2 | GGA-PBE | optimized geometry

symmetry = I4/mmm, No. 139
E_form = -11 kJ/mol of atoms
Fermi-level density of states = 0.27 states/eV per atom
E = -81.402 eV/cell

Lattice parameters (Å, degrees): 5.4664 5.4664 5.4664 109.43 109.49 109.49
With the nearest neighbours (Å) after each atom.
Atoms (fractional coordinates):
Ta 0.5000 0.0000 0.0000  4 Tc 2.73, 2 Re 2.73
Ta 0.5000 0.5000 0.5000  4 Tc 2.73, 2 Re 2.73
Ta 0.0000 0.0000 0.5000  4 Tc 2.73, 2 Re 2.73
Ta 0.0000 0.5000 0.0000  2 Re 2.73, 4 Tc 2.73
Re 0.0000 0.0000 0.0000  8 Ta 2.73
Tc 0.5000 0.5000 0.0000  8 Ta 2.73
Tc 0.5000 0.0000 0.5000  8 Ta 2.73

---

(8)
LiTc | GGA-PBE | optimized geometry

symmetry = Cm, No. 8
E_form = 11 kJ/mol of atoms
Fermi-level density of states = 0.54 states/eV per atom
E = -48.204 eV/cell

Lattice parameters (Å, degrees): 9.4829 2.7638 4.7888 90.00 99.88 90.00
With the nearest neighbours (Å) after each atom.
Atoms (fractional coordinates):
Li 0.0487 0.0000 0.4226  9 Li 2.76-3.09, 3 Tc 2.83-2.85
Li 0.0487 0.5000 0.9226  9 Li 2.76-3.09, 3 Tc 2.83-2.85
Li 0.3308 0.0000 0.8465  9 Li 2.76-3.09, 3 Tc 2.81-2.84
Li 0.3308 0.5000 0.3465  9 Li 2.76-3.09, 3 Tc 2.81-2.84
Tc 0.5798 0.0000 0.2697  9 Tc 2.58-2.76, 3 Li 2.81-2.84
Tc 0.5798 0.5000 0.7697  9 Tc 2.58-2.76, 3 Li 2.81-2.84
Tc 0.7975 0.0000 0.6762  9 Tc 2.58-2.76, 3 Li 2.83-2.85
Tc 0.7975 0.5000 0.1762  9 Tc 2.58-2.76, 3 Li 2.83-2.85

---

(9)
Tl8Sn2Bi | GGA-PBE | optimized geometry

symmetry = C2/m, No. 12
E_form = 11 kJ/mol of atoms
Fermi-level density of states = 0.57 states/eV per atom
E = -29.514 eV/cell

Lattice parameters (Å, degrees): 5.7789 8.4607 8.4607 66.62 84.02 84.02
With the nearest neighbours (Å) after each atom.
Atoms (fractional coordinates):
Tl 0.2651 0.1457 0.5421  2 Sn 3.22-3.29, 2 Tl 3.35-3.45
Tl 0.2651 0.5421 0.1457  2 Sn 3.22-3.29, 2 Tl 3.35-3.45
Tl 0.7349 0.8543 0.4579  2 Sn 3.22-3.29, 2 Tl 3.35-3.45
Tl 0.2438 0.5515 0.5515  1 Sn 3.05, 2 Tl 3.13-3.33
Tl 0.7349 0.4579 0.8543  2 Sn 3.22-3.29, 2 Tl 3.35-3.45
Tl 0.4373 0.1240 0.1240  2 Sn 3.24-3.31, 2 Bi 3.25-3.50, 3 Tl 3.35-3.49
Tl 0.5627 0.8760 0.8760  2 Sn 3.24-3.31, 2 Bi 3.25-3.50, 3 Tl 3.35-3.49
Tl 0.7562 0.4485 0.4485  1 Sn 3.05, 2 Tl 3.13-3.33
Sn 0.9101 0.2342 0.2342  7 Tl 3.05-3.31, 1 Bi 3.29
Sn 0.0899 0.7658 0.7658  7 Tl 3.05-3.31, 1 Bi 3.29
Bi 0.0000 0.0000 0.0000  4 Tl 3.25-3.50, 2 Sn 3.29

---

(10)
Zr2TeRh | GGA-PBE | optimized geometry

raw formation energy = -0.562 eV per atom
symmetry = Cmmm, No. 65
Fermi-level density of states = 0.84 states/eV per atom
E = -29.837 eV/cell

Lattice parameters (Å, degrees): 6.9116 4.8682 3.5147 90.01 59.42 121.75
With the nearest neighbours (Å) after each atom.
Atoms (fractional coordinates):
Rh 0.0000 0.5000 0.5000  2 Te 2.98, 8 Zr 3.00
Te 0.5000 0.5000 0.0000  2 Rh 2.98, 8 Zr 3.00
Zr 0.0000 0.0000 0.0000  2 Zr 2.98, 4 Rh 3.00, 4 Te 3.00
Zr 0.5000 0.0000 0.5000  2 Zr 2.98, 4 Te 3.00, 4 Rh 3.00

---

(11)
Li2MgBiH | GGA-PBE | optimized geometry

symmetry = P4/mmm, No. 123
Fermi-level density of states = 0.12 states/eV per atom
E = -14.522 eV/cell

Lattice parameters (Å, degrees): 4.3251 4.3251 4.4388 90.00 90.00 90.00
With the nearest neighbours (Å) after each atom.
Atoms (fractional coordinates):
H 0.0000 0.0000 0.0000  4 Li 2.16, 2 Mg 2.22
Mg 0.0000 0.0000 0.5000  2 H 2.22
Bi 0.5000 0.5000 0.5000  4 Mg 3.06, 8 Li 3.10
Li 0.0000 0.5000 0.0000  2 H 2.16
Li 0.5000 0.0000 0.0000  2 H 2.16

---

(12)
K3RuF6 | GGA-PBE | optimized geometry

raw formation energy = -2.334 eV per atom
symmetry = R-3m, No. 166
Fermi-level density of states = 2.17 states/eV per atom
E = -47.138 eV/cell

Lattice parameters (Å, degrees): 6.3798 6.3782 6.3783 59.89 59.90 59.90
With the nearest neighbours (Å) after each atom.
Atoms (fractional coordinates):
Ru 0.0000 0.0000 0.0000  6 F 2.02
K 0.7500 0.7497 0.7497  12 F 3.19-3.20
K 0.2501 0.2502 0.2502  12 F 3.19-3.20
K 0.5000 0.5000 0.5000  6 F 2.49
F 0.2243 0.7759 0.7759  1 Ru 2.02
F 0.7759 0.2244 0.7758  1 Ru 2.02
F 0.7759 0.7758 0.2244  1 Ru 2.02
F 0.2241 0.2242 0.7756  1 Ru 2.02
F 0.7757 0.2241 0.2241  1 Ru 2.02
F 0.2241 0.7756 0.2242  1 Ru 2.02

---

Please write out number 2 again, unchanged.
PmMgGaNi | GGA-PBE | optimized geometry

symmetry = F-43m, No. 216
E_form = -32 kJ/mol of atoms
Fermi-level density of states = 0.52 states/eV per atom
E = -16.469 eV/cell

Lattice parameters (Å, degrees): 4.7995 4.7995 4.7995 60.00 60.00 60.00
With the nearest neighbours (Å) after each atom.
Atoms (fractional coordinates):
Ni 0.5000 0.5000 0.5000  4 Mg 2.94, 4 Pm 2.94
Mg 0.2500 0.2500 0.2500  4 Ni 2.94, 4 Ga 2.94
Ga 0.0000 0.0000 0.0000  4 Mg 2.94, 4 Pm 2.94
Pm 0.7500 0.7500 0.7500  4 Ni 2.94, 4 Ga 2.94